# PBE Mn2Pb, optimized geometry
# Mass density ... 8.7 Mg/m³
# M_tot ... 2.43 μB/atom
# DFT formation energy ... 0.624 eV per atom
data_Mn2Pb
_space_group_name_H-M_alt 'I 4/m c m'
_space_group_IT_number 140
_space_group_name_Hall '-I 4 2c'
_cell_length_a 5.2389
_cell_length_b 5.2389
_cell_length_c 8.8361
_cell_angle_alpha 90.00
_cell_angle_beta 90.00
_cell_angle_gamma 90.00
loop_
_atom_site_label
_atom_site_fract_x
_atom_site_fract_y
_atom_site_fract_z
Mn1 0.1769 0.3231 0.0000
Pb1 0.0000 0.0000 0.2500

---

# PBE Mn2Pb, optimized geometry
# Mass density ... 10.5 Mg/m³
# M_tot ... 0.63 μB/atom
# DFT formation energy ... 0.749 eV per atom
data_Mn2Pb
_space_group_name_H-M_alt 'I 41/a m d'
_space_group_IT_number 141
_cell_length_a 3.9069
_cell_length_b 3.9069
_cell_length_c 13.1781
_cell_angle_alpha 90.00
_cell_angle_beta 90.00
_cell_angle_gamma 90.00
loop_
_space_group_symop_operation_xyz
'x,y,z'
'-x,-y,-z'
'-y+1/4,x+3/4,z+1/4'
'y+1/4,-x+3/4,-z+1/4'
'-x+1/2,-y,z+1/2'
'x+1/2,y,-z+1/2'
'y+1/4,-x+1/4,z+3/4'
'-y+1/4,x+1/4,-z+3/4'
'x,-y,-z'
'-x,y,z'
'-y+1/4,-x+1/4,-z+3/4'
'y+1/4,x+1/4,z+3/4'
'-x+1/2,y,-z+1/2'
'x+1/2,-y,z+1/2'
'y+1/4,x+3/4,-z+1/4'
'-y+1/4,-x+3/4,z+1/4'
'x+1/2,y+1/2,z+1/2'
'-x+1/2,-y+1/2,-z+1/2'
'-y+3/4,x+1/4,z+3/4'
'y+3/4,-x+1/4,-z+3/4'
'-x,-y+1/2,z'
'x,y+1/2,-z'
'y+3/4,-x+3/4,z+1/4'
'-y+3/4,x+3/4,-z+1/4'
'x+1/2,-y+1/2,-z+1/2'
'-x+1/2,y+1/2,z+1/2'
'-y+3/4,-x+3/4,-z+1/4'
'y+3/4,x+3/4,z+1/4'
'-x,y+1/2,-z'
'x,-y+1/2,z'
'y+3/4,x+1/4,-z+3/4'
'-y+3/4,-x+1/4,z+3/4'
loop_
_atom_site_label
_atom_site_fract_x
_atom_site_fract_y
_atom_site_fract_z
Mn1 0.0000 0.2500 0.2908
Pb1 0.0000 0.2500 0.8750

---

# PBE Mn2Pb, optimized geometry
# Mass density ... 9.7 Mg/m³
# M_tot ... 2.22 μB/atom
# DFT formation energy ... 0.567 eV per atom
data_Mn2Pb
_space_group_name_H-M_alt 'P -6 2 m'
_space_group_IT_number 189
_space_group_name_Hall 'P -6 -2'
_cell_length_a 7.6733
_cell_length_b 7.6733
_cell_length_c 3.1912
_cell_angle_alpha 90.00
_cell_angle_beta 90.00
_cell_angle_gamma 120.00
loop_
_atom_site_label
_atom_site_fract_x
_atom_site_fract_y
_atom_site_fract_z
Mn1 0.0000 0.2953 0.0000
Mn2 0.0000 0.6287 0.5000
Pb1 0.0000 0.0000 0.5000
Pb2 0.3333 0.6667 0.0000

---

# PBE MnPb3, optimized geometry
# Mass density ... 8.3 Mg/m³
# M_tot ... 0.24 μB/atom
# DFT formation energy ... 0.445 eV per atom
data_MnPb3
_space_group_name_H-M_alt 'P m -3 m'
_space_group_IT_number 221
_space_group_name_Hall '-P 4 2 3'
_cell_length_a 5.1414
_cell_length_b 5.1414
_cell_length_c 5.1414
_cell_angle_alpha 90.00
_cell_angle_beta 90.00
_cell_angle_gamma 90.00
loop_
_atom_site_label
_atom_site_fract_x
_atom_site_fract_y
_atom_site_fract_z
Mn1 0.0000 0.0000 0.0000
Pb1 0.0000 0.0000 0.5000

---

# PBE Mn2Pb, optimized geometry
# Mass density ... 9.2 Mg/m³
# M_tot ... 2.38 μB/atom
# DFT formation energy ... 0.644 eV per atom
data_Mn2Pb
_space_group_name_H-M_alt 'P n n m'
_space_group_IT_number 58
_space_group_name_Hall '-P 2 2n'
_cell_length_a 3.0817
_cell_length_b 7.7687
_cell_length_c 4.7894
_cell_angle_alpha 90.00
_cell_angle_beta 90.00
_cell_angle_gamma 90.00
loop_
_atom_site_label
_atom_site_fract_x
_atom_site_fract_y
_atom_site_fract_z
Mn1 0.2455 0.1552 0.0000
Pb1 0.0000 0.5000 0.0000

---

# PBE Mn4Pb5, optimized geometry
# Mass density ... 10.1 Mg/m³
# M_tot ... 1.67 μB/atom
# DFT formation energy ... 0.467 eV per atom
# Energy relative to the lowest polymorph listed for this composition ... 0.000 eV per formula unit
data_Mn4Pb5
_space_group_name_H-M_alt 'P 63/m c m'
_space_group_IT_number 193
_space_group_name_Hall '-P 6c 2'
_cell_length_a 8.8933
_cell_length_b 8.8933
_cell_length_c 6.0378
_cell_angle_alpha 90.00
_cell_angle_beta 90.00
_cell_angle_gamma 120.00
loop_
_atom_site_label
_atom_site_fract_x
_atom_site_fract_y
_atom_site_fract_z
Mn1 0.0000 0.0000 0.0000
Mn2 0.0000 0.3956 0.2500
Pb1 0.0000 0.2746 0.7500
Pb2 0.3333 0.6667 0.0000